A plane-wave DFT calculation with PBE+U was carried out for crystalline Na2UCoO6 at its relaxed geometry.

E ... -68.46 eV/f.u.
Space-group type ... No. 166

Cell lengths 5.5774, 5.5800, 5.5778 Å; angles 60.03, 59.99, 90.01 degrees
Last column: nearest neighbours and their distance in Å.
Fractional positions:
O1 0.2610 0.2622 0.9985  1 Co 1.89, 1 U 2.06
O2 0.2596 0.7379 0.0013  1 Co 1.89, 1 U 2.06
O3 0.2606 0.2619 0.4783  1 Co 1.89, 1 U 2.06
O4 0.7394 0.7381 0.5217  1 Co 1.89, 1 U 2.06
O5 0.7390 0.7378 0.0015  1 Co 1.89, 1 U 2.06
Co1 0.5000 0.5000 0.0000  6 O 1.89
O6 0.7404 0.2621 0.9987  1 Co 1.89, 1 U 2.06
Na1 0.7513 0.2533 0.4979  12 O 2.77-2.81
U1 0.0000 0.0000 0.0000  6 O 2.06
Na2 0.2487 0.7467 0.5021  12 O 2.77-2.81